No. 1
This record from the Alexandria database describes an optimized crystal structure of Li2Dy3In6. The functional is PBE.

Geometry as extended XYZ:
```
11
Lattice="4.544 0.000 0.000 0.000 4.544 0.000 -2.272 -2.272 12.861" Properties=species:S:1:pos:R:3 pbc="T T T"
In 2.272 0.000 2.542
In 0.000 2.272 2.542
In 0.000 0.000 8.112
In 2.272 2.272 4.749
In 0.000 2.272 10.318
In 2.272 0.000 10.318
Li 0.000 0.000 11.709
Li 2.272 2.272 1.152
Dy 0.000 0.000 0.000
Dy 2.272 2.272 7.850
Dy 0.000 0.000 5.011
```

Output
crystal system	tetragonal
formation energy	-0.307	eV/atom
D(E_F)	5.2	states/eV per cell

No. 2
This record from the Alexandria database describes an optimized crystal structure of Li2DyIn3. The functional is PBE.

Geometry as extended XYZ:
```
12
Lattice="-3.151 2.301 2.923 3.361 -2.977 1.900 8.360 10.112 1.052" Properties=species:S:1:pos:R:3 pbc="T T T"
In 4.259 2.494 2.628
In 0.000 0.000 0.000
In 6.268 9.309 3.495
In 2.302 0.127 2.381
In 4.311 6.942 3.248
In 4.180 5.056 0.526
Li 2.370 4.595 3.004
Li 6.200 4.842 2.872
Li 8.721 7.891 3.189
Li -0.151 1.545 2.687
Dy 2.090 2.528 0.263
Dy 6.270 7.584 0.789
```

Output
crystal system	hexagonal
formation energy	-0.310	eV/atom
D(E_F)	5.9	states/eV per cell

No. 3
This record from the Alexandria database describes an optimized crystal structure of LiDyLuIn. The functional is PBE.

Geometry as extended XYZ:
```
4
Lattice="-1.400 -1.947 -4.632 3.593 -0.759 -3.704 1.399 -4.848 -1.322" Properties=species:S:1:pos:R:3 pbc="T T T"
In 1.796 -3.777 -4.829
Lu 0.898 -1.889 -2.414
Dy 2.694 -5.666 -7.243
Li 0.000 0.000 0.000
```

Output
crystal system	cubic
formation energy	-0.250	eV/atom
D(E_F)	2.9	states/eV per cell

No. 4
This record from the Alexandria database describes an optimized crystal structure of Li2Dy2MgIn5. The functional is PBE.

Geometry as extended XYZ:
```
20
Lattice="3.699 0.000 0.000 0.000 11.062 0.000 0.000 0.000 11.062" Properties=species:S:1:pos:R:3 pbc="T T T"
Li 0.000 9.676 4.145
Li 0.000 4.145 1.386
Li 0.000 6.917 9.676
Li 0.000 1.386 6.917
Mg 0.000 5.531 5.531
Mg 0.000 0.000 0.000
In 1.849 7.791 4.836
In 1.849 10.367 2.260
In 1.849 0.000 5.531
In 1.849 3.271 6.226
In 1.849 6.226 7.791
In 1.849 2.260 0.695
In 1.849 4.836 3.271
In 1.849 0.695 8.802
In 1.849 5.531 0.000
In 1.849 8.802 10.367
Dy 0.000 1.925 3.606
Dy 0.000 7.456 1.925
Dy 0.000 9.137 7.456
Dy 0.000 3.606 9.137
```

Output
crystal system	tetragonal
formation energy	-0.279	eV/atom
D(E_F)	10.5	states/eV per cell

Number 1: total magnetization 0.00 μB per formula unit. Number 2: total magnetization 0.00 μB per formula unit. Number 3: total magnetization 0.00 μB per formula unit. Number 4: total magnetization 0.00 μB per formula unit.